Record 1
KThTe2S6 after structural relaxation, computed with PBE.

Output
As for the space-group type: P1 (1).

Cell lengths 6.7619, 7.1065, 8.0028 Å; angles 116.03, 91.40, 116.36 degrees
Last column: nearest neighbours and their distance in Å.
Fractional positions:
K  0.0000  0.0000  0.0000  6 S 3.16-3.39
Th  0.5075  0.0368  0.5535  6 S 2.75-2.88
Te  0.2187  0.4300  0.6428  3 S 2.41-2.67
Te  0.6954  0.4380  0.1879  2 S 2.40
S  0.0928  0.9582  0.3973  2 Te 2.73-3.04, 1 Th 2.75
S  0.3924  0.9108  0.8318  1 Te 2.67, 1 Th 2.75
S  0.4306  0.5507  0.3348  1 Te 2.40
S  0.5529  0.4818  0.8157  1 Te 2.41
S  0.7719  0.2424  0.3401  1 Te 2.40
S  0.9460  0.3167  0.8229  1 Te 2.44

***

Record 2
KTiTe2S6 after structural relaxation, computed with PBE.

Output
As for the space-group type: R3 (146).

Cell lengths 8.3779, 8.3779, 8.3779 Å; angles 46.85, 46.85, 46.85 degrees
Last column: nearest neighbours and their distance in Å.
Fractional positions:
K  0.0000  0.0000  0.0000  6 S 3.23-3.41
Ti  0.4811  0.4811  0.4811  6 S 2.40-2.50
Te  0.2369  0.2369  0.2369  3 S 2.53
Te  0.8060  0.8060  0.8060  3 S 2.47
S  0.1048  0.4660  0.6858  1 Ti 2.40, 1 Te 2.47
S  0.2598  0.8275  0.5751  1 Ti 2.50, 1 Te 2.53
S  0.4660  0.6858  0.1048  1 Ti 2.40, 1 Te 2.47
S  0.5751  0.2598  0.8275  1 Ti 2.50, 1 Te 2.53
S  0.6858  0.1048  0.4660  1 Ti 2.40, 1 Te 2.47
S  0.8275  0.5751  0.2598  1 Ti 2.50, 1 Te 2.53

***

Number 1: ΔE_f (raw) -0.68 eV/atom, DOS at the Fermi energy 0.22 states/eV per atom. Number 2: ΔE_f (raw) -0.49 eV/atom, DOS at the Fermi energy 0.38 states/eV per atom.